The following is a DFT calculation (PBE) of a relaxed La5Er2Tl crystal.

N(E_F) ... 1.36 states/eV per atom
Calculated formation energy ... -12 meV per atom
Uncorrected energy ... -36.2 eV for the cell shown
Magnetization ... 0.0 μB/f.u.

The structure in POSCAR format:
```
La5Er2Tl
1.0
-1.920 -1.460 -2.552
-3.231 -8.348 7.206
-2.605 8.498 -0.486
La Tl Er
5 1 2
direct
0.000 0.500 0.000 La
0.374 0.138 0.748 La
0.374 0.610 0.748 La
0.626 0.862 0.252 La
0.626 0.390 0.252 La
0.000 0.000 0.000 Tl
0.270 0.770 0.540 Er
0.730 0.230 0.460 Er
```